Entry 1:
A plane-wave DFT calculation with PBE was carried out for a relaxed structure of Tc2AsBr2.

The structure in POSCAR format:
```
Tc2AsBr2
1.0
-2.1240 2.1240 5.7208
2.1240 -2.1240 5.7208
2.1240 2.1240 -5.7208
Tc As Br
2 1 2
direct
0.0946 0.0946 0.0000
0.9054 0.9054 0.0000
0.5000 0.5000 0.0000
0.2500 0.7500 0.5000
0.7500 0.2500 0.5000
```

## Properties
- Energy above the most stable polymorph in this dataset: 511 meV per atom
- Electronic total energy: -0.182 Ha/atom
- Formation energy (no corrections): 0.798 eV per atom
- Symmetry: I4/mmm (139)

---

Entry 2:
A plane-wave DFT calculation with PBE was carried out for a relaxed structure of TcAs4Br.

The structure in POSCAR format:
```
TcAs4Br
1.0
0.0000 4.0592 4.0592
4.0592 0.0000 4.0592
4.0592 4.0592 0.0000
Tc As Br
1 4 1
direct
0.0000 0.0000 0.0000
0.1644 0.6119 0.6119
0.6119 0.1644 0.6119
0.6119 0.6119 0.1644
0.6119 0.6119 0.6119
0.2500 0.2500 0.2500
```

## Properties
- Electronic total energy: -0.159 Ha/atom
- Formation energy (no corrections): 0.773 eV per atom
- Symmetry: F-43m (216)

---

Entry 3:
A plane-wave DFT calculation with PBE was carried out for a relaxed structure of TcAs3Br.

The structure in POSCAR format:
```
TcAs3Br
1.0
4.9965 0.0000 0.0000
0.0000 4.9965 0.0000
0.0000 0.0000 4.9965
Tc As Br
1 3 1
direct
0.0000 0.0000 0.0000
0.0000 0.5000 0.5000
0.5000 0.0000 0.5000
0.5000 0.5000 0.0000
0.5000 0.5000 0.5000
```

## Properties
- Energy above the most stable polymorph in this dataset: 1354 meV per atom
- Electronic total energy: -0.129 Ha/atom
- Formation energy (no corrections): 1.694 eV per atom
- Symmetry: Pm-3m (221)

---

Entry 4:
A plane-wave DFT calculation with PBE was carried out for a relaxed structure of VTcAsBr2.

The structure in POSCAR format:
```
VTcAsBr2
1.0
5.0082 0.0000 0.0000
0.0000 5.0082 0.0000
0.0000 0.0000 5.0480
V Tc As Br
1 1 1 2
direct
0.0000 0.0000 0.0000
0.5000 0.5000 0.5000
0.0000 0.0000 0.5000
0.0000 0.5000 0.0000
0.5000 0.0000 0.0000
```

## Properties
- Energy above the most stable polymorph in this dataset: 0 meV per atom
- Electronic total energy: -0.175 Ha/atom
- Formation energy (no corrections): 0.730 eV per atom
- Symmetry: P4/mmm (123)

---

Entry 5:
A plane-wave DFT calculation with PBE was carried out for a relaxed structure of VTcAsBr2.

The structure in POSCAR format:
```
VTcAsBr2
1.0
5.2036 0.0000 0.0000
0.0000 5.2036 0.0000
0.0000 0.0000 4.7326
V Tc As Br
1 1 1 2
direct
0.0000 0.0000 0.0000
0.5000 0.5000 0.5000
0.5000 0.5000 0.0000
0.0000 0.5000 0.5000
0.5000 0.0000 0.5000
```

## Properties
- Energy above the most stable polymorph in this dataset: 31 meV per atom
- Electronic total energy: -0.174 Ha/atom
- Formation energy (no corrections): 0.761 eV per atom
- Symmetry: P4/mmm (123)

---

Entry 6:
A plane-wave DFT calculation with PBE was carried out for a relaxed structure of Y2TcAsBr.

The structure in POSCAR format:
```
Y2TcAsBr
1.0
5.4591 0.0000 0.0000
0.0000 5.4591 0.0000
0.0000 0.0000 5.1792
Y Tc As Br
2 1 1 1
direct
0.0000 0.5000 0.0000
0.5000 0.0000 0.0000
0.0000 0.0000 0.5000
0.5000 0.5000 0.0000
0.5000 0.5000 0.5000
```

## Properties
- Electronic total energy: -0.196 Ha/atom
- Formation energy (no corrections): 0.577 eV per atom
- Symmetry: P4/mmm (123)

---

Ordered DOS at the Fermi energy results: 0.814 0.261 0.969 0.871 2.231 1.196; unit states/eV per atom.